AcRuCO5 | PBE-GGA | relaxed

Cell: 5.0239 5.0239 9.3337 Å, 98.32 98.32 104.47°
Last column: nearest neighbours and their distance in Å.
Sites, in units of the cell vectors:
Ac  0.0000  0.0000  0.0000  6 O 2.50-2.56
Ac  0.0000  0.0000  0.5000  6 O 2.50-2.56
Ru  0.3405  0.6595  0.7500  1 O 1.80
Ru  0.6595  0.3405  0.2500  1 O 1.80
C  0.3153  0.6847  0.2500  4 O 1.41
C  0.6847  0.3153  0.7500  4 O 1.41
O  0.0589  0.6448  0.2990  1 C 1.41
O  0.1137  0.8863  0.7500  1 Ru 1.80
O  0.3283  0.4723  0.1364  1 C 1.41
O  0.3552  0.9411  0.2010  1 C 1.41
O  0.4723  0.3283  0.6364  1 C 1.41
O  0.5277  0.6717  0.3636  1 C 1.41
O  0.6448  0.0589  0.7990  1 C 1.41
O  0.6717  0.5277  0.8636  1 C 1.41
O  0.8863  0.1137  0.2500  1 Ru 1.80
O  0.9411  0.3552  0.7010  1 C 1.41

The calculation puts the total magnetic moment at 1.03 μB/f.u. The formation energy (no corrections) is -1.4885 eV per atom. The uncorrected energy comes out at -0.5449 Ry per atom. As for the crystal system: monoclinic.

AcScC2O8 | PBE-GGA | relaxed

Cell: 5.9398 5.9398 5.7149 Å, 110.90 110.90 53.03°
Last column: nearest neighbours and their distance in Å.
Sites, in units of the cell vectors:
Ac  0.0000  0.0000  0.0000  10 O 2.49-2.76
Sc  0.5000  0.5000  0.5000  6 O 2.12-2.37
C  0.1518  0.1518  0.6276  3 O 1.26-1.32
C  0.8482  0.8482  0.3724  3 O 1.26-1.32
O  0.0814  0.6636  0.2733  1 C 1.32
O  0.1846  0.1846  0.4392  1 C 1.26
O  0.3364  0.9186  0.7267  1 C 1.32
O  0.4468  0.4468  0.8648  1 O 1.51
O  0.5532  0.5532  0.1352  1 O 1.51
O  0.6636  0.0814  0.2733  1 C 1.32
O  0.8154  0.8154  0.5608  1 C 1.26
O  0.9186  0.3364  0.7267  1 C 1.32

The calculation puts the total magnetic moment at 0.00 μB/f.u. The formation energy (no corrections) is -2.0561 eV per atom. The uncorrected energy comes out at -0.5710 Ry per atom. As for the crystal system: monoclinic.

SrAcC2O6 | PBE-GGA | relaxed

Cell: 6.7199 6.7199 7.5429 Å, 107.12 107.12 99.19°
Last column: nearest neighbours and their distance in Å.
Sites, in units of the cell vectors:
Sr  0.1671  0.8329  0.7500  6 O 2.49-2.66
Sr  0.8329  0.1671  0.2500  6 O 2.49-2.66
Ac  0.3690  0.6310  0.2500  8 O 2.60-2.89
Ac  0.6310  0.3690  0.7500  8 O 2.60-2.89
C  0.1566  0.3586  0.7489  3 O 1.30-1.32
C  0.3586  0.1566  0.2489  3 O 1.30-1.32
C  0.6414  0.8434  0.7511  3 O 1.30-1.32
C  0.8434  0.6414  0.2511  3 O 1.30-1.32
O  0.0319  0.6298  0.3574  1 C 1.31
O  0.1844  0.2209  0.1991  1 C 1.30
O  0.2209  0.1844  0.6991  1 C 1.30
O  0.3058  0.5392  0.8748  1 C 1.32
O  0.3702  0.9681  0.1426  1 C 1.31
O  0.4608  0.6942  0.6252  1 C 1.32
O  0.5392  0.3058  0.3748  1 C 1.32
O  0.6298  0.0319  0.8574  1 C 1.31
O  0.6942  0.4608  0.1252  1 C 1.32
O  0.7791  0.8156  0.3009  1 C 1.30
O  0.8156  0.7791  0.8009  1 C 1.30
O  0.9681  0.3702  0.6426  1 C 1.31

The calculation puts the total magnetic moment at 0.00 μB/f.u. The formation energy (no corrections) is -2.1163 eV per atom. The uncorrected energy comes out at -0.5523 Ry per atom. As for the crystal system: monoclinic.

AcTbC2O8 | PBE-GGA | relaxed

Cell: 5.0053 5.0053 6.7692 Å, 111.68 111.68 60.27°
Last column: nearest neighbours and their distance in Å.
Sites, in units of the cell vectors:
Ac  0.0000  0.0000  0.0000  14 O 2.83-2.95
Tb  0.5000  0.5000  0.5000  6 O 2.35
C  0.2366  0.2366  0.7098  4 O 1.39
C  0.7634  0.7634  0.2902  4 O 1.39
O  0.0410  0.5893  0.2173  1 C 1.39
O  0.1626  0.1626  0.4821  1 C 1.39
O  0.4107  0.9590  0.7827  1 C 1.39
O  0.4128  0.4128  0.7848  1 C 1.39
O  0.5872  0.5872  0.2152  1 C 1.39
O  0.5893  0.0410  0.2173  1 C 1.39
O  0.8374  0.8374  0.5179  1 C 1.39
O  0.9590  0.4107  0.7827  1 C 1.39

The calculation puts the total magnetic moment at 2.01 μB/f.u. The formation energy (no corrections) is -2.0024 eV per atom. The uncorrected energy comes out at -0.5566 Ry per atom. As for the crystal system: monoclinic.

Ac2TlC2O7 | PBE-GGA | relaxed

Cell: 11.1536 11.1536 11.1536 Å, 27.53 27.53 27.53°
Last column: nearest neighbours and their distance in Å.
Sites, in units of the cell vectors:
Ac  0.0687  0.0687  0.0687  1 O 2.21
Ac  0.9313  0.9313  0.9313  1 O 2.21
Tl  0.5000  0.5000  0.5000  6 O 3.25
C  0.2512  0.2512  0.2512  3 O 1.30
C  0.7488  0.7488  0.7488  3 O 1.30
O  0.0000  0.0000  0.0000  2 Ac 2.21
O  0.0313  0.6072  0.6072  1 C 1.30
O  0.3928  0.3928  0.9687  1 C 1.30
O  0.3928  0.9687  0.3928  1 C 1.30
O  0.6072  0.0313  0.6072  1 C 1.30
O  0.6072  0.6072  0.0313  1 C 1.30
O  0.9687  0.3928  0.3928  1 C 1.30

The calculation puts the total magnetic moment at 0.00 μB/f.u. The formation energy (no corrections) is -2.0927 eV per atom. The uncorrected energy comes out at -0.5442 Ry per atom. As for the crystal system: trigonal.

Ac3TlC4O12 | PBE-GGA | relaxed

Cell: 7.0332 7.0332 7.0332 Å, 95.93 95.93 95.93°
Last column: nearest neighbours and their distance in Å.
Sites, in units of the cell vectors:
Ac  0.0000  0.5205  0.4795  6 O 2.51-2.65
Ac  0.4795  0.0000  0.5205  6 O 2.51-2.65
Ac  0.5205  0.4795  0.0000  6 O 2.51-2.65
Tl  0.0000  0.0000  0.0000  6 C 3.52, 18 O 3.70-3.80
C  0.0037  0.5000  0.9963  3 O 1.28-1.32
C  0.5000  0.5000  0.5000  3 O 1.30
C  0.5000  0.9963  0.0037  3 O 1.28-1.32
C  0.9963  0.0037  0.5000  3 O 1.28-1.32
O  0.0604  0.1831  0.5323  1 C 1.28
O  0.1230  0.8770  0.5000  1 C 1.32
O  0.1831  0.5323  0.0604  1 C 1.28
O  0.3757  0.6243  0.5000  1 C 1.30
O  0.4677  0.8169  0.9396  1 C 1.28
O  0.5000  0.1230  0.8770  1 C 1.32
O  0.5000  0.3757  0.6243  1 C 1.30
O  0.5323  0.0604  0.1831  1 C 1.28
O  0.6243  0.5000  0.3757  1 C 1.30
O  0.8169  0.9396  0.4677  1 C 1.28
O  0.8770  0.5000  0.1230  1 C 1.32
O  0.9396  0.4677  0.8169  1 C 1.28

The calculation puts the total magnetic moment at 0.00 μB/f.u. The formation energy (no corrections) is -1.9810 eV per atom. The uncorrected energy comes out at -0.5538 Ry per atom. As for the crystal system: trigonal.